(1)
SrDyPO | the Open Quantum Materials Database | GGA-PBE | optimized geometry; crystal system = orthorhombic; SG = Pmc2_1, No. 26; offset from the most stable computed form = 0.000 eV per atom
1.0
4.478 0.000 0.000
0.000 7.320 0.000
0.000 0.000 6.377
Sr Dy P O
2 2 2 2
direct
0.000 0.197 0.000
0.000 0.803 0.500
0.500 0.381 0.590
0.500 0.619 0.090
0.000 0.211 0.476
0.000 0.789 0.976
0.500 0.356 0.930
0.500 0.644 0.430



(2)
TbScH2Cl4 | the Open Quantum Materials Database | GGA-PBE | optimized geometry; calculated total energy = -4.789 eV/atom; crystal system = hexagonal; SG = P-6m2, No. 187
1.0
3.629 0.000 0.000
-1.814 3.142 0.000
0.000 0.000 13.311
Tb Sc H Cl
1 1 2 4
direct
0.000 0.000 0.000
0.000 0.000 0.500
0.333 0.667 0.500
0.667 0.333 0.000
0.333 0.667 0.135
0.333 0.667 0.865
0.667 0.333 0.376
0.667 0.333 0.624